Record 1
Compound: GdTlS2
Source: the Alexandria database
Functional: PBE-GGA
Structure: optimized geometry

Calculated values
For the formation energy without anion corrections, the calculation gives -1.49 eV per atom. The calculation puts the mass density at 6.53 Mg/m³. For the calculated volume, the calculation gives 108.3 Å³ per cell.

Cell: 7.861 7.861 7.861 Å, 30.10 30.10 30.10°
Positions (direct):
Gd 0.000 0.000 0.000
Tl 0.500 0.500 0.500
S 0.267 0.267 0.267
S 0.733 0.733 0.733

Record 2
Compound: GdTmS
Source: the Alexandria database
Functional: PBE-GGA
Structure: optimized geometry

Calculated values
For the formation energy without anion corrections, the calculation gives -1.28 eV per atom. The calculation puts the mass density at 7.71 Mg/m³. For the calculated volume, the calculation gives 77.1 Å³ per cell.

Cell: 3.747 3.747 6.343 Å, 90.00 90.00 120.00°
Positions (direct):
Gd 0.000 0.000 0.000
Tm 0.333 0.667 0.530
S 0.667 0.333 0.273

Record 3
Compound: Gd2TmS
Source: the Alexandria database
Functional: PBE-GGA
Structure: optimized geometry

Calculated values
For the formation energy without anion corrections, the calculation gives -0.72 eV per atom. The calculation puts the mass density at 7.27 Mg/m³. For the calculated volume, the calculation gives 117.8 Å³ per cell.

Cell: 10.323 10.323 10.323 Å, 20.48 20.48 20.48°
Positions (direct):
Gd 0.111 0.111 0.111
Gd 0.889 0.889 0.889
Tm 0.000 0.000 0.000
S 0.500 0.500 0.500

Record 4
Compound: GdTm3S
Source: the Alexandria database
Functional: PBE-GGA
Structure: optimized geometry

Calculated values
For the formation energy without anion corrections, the calculation gives -0.62 eV per atom. The calculation puts the mass density at 8.03 Mg/m³. For the calculated volume, the calculation gives 143.9 Å³ per cell.

Cell: 5.241 5.241 5.241 Å, 90.00 90.00 90.00°
Positions (direct):
Gd 0.000 0.000 0.000
Tm 0.000 0.500 0.500
Tm 0.500 0.000 0.500
Tm 0.500 0.500 0.000
S 0.500 0.500 0.500

Record 5
Compound: Gd3TmS
Source: the Alexandria database
Functional: PBE-GGA
Structure: optimized geometry

Calculated values
For the formation energy without anion corrections, the calculation gives -0.65 eV per atom. The calculation puts the mass density at 7.27 Mg/m³. For the calculated volume, the calculation gives 153.6 Å³ per cell.

Cell: 5.355 5.355 5.355 Å, 90.00 90.00 90.00°
Positions (direct):
Gd 0.000 0.000 0.500
Gd 0.000 0.500 0.000
Gd 0.500 0.000 0.000
Tm 0.500 0.500 0.500
S 0.000 0.000 0.000

Record 6
Compound: GdYS
Source: the Alexandria database
Functional: PBE-GGA
Structure: optimized geometry

Calculated values
For the formation energy without anion corrections, the calculation gives -1.32 eV per atom. The calculation puts the mass density at 5.81 Mg/m³. For the calculated volume, the calculation gives 79.5 Å³ per cell.

Cell: 3.800 3.800 6.360 Å, 90.00 90.00 120.00°
Positions (direct):
Gd 0.000 0.000 0.000
Y 0.333 0.667 0.525
S 0.667 0.333 0.265

Record 7
Compound: YbGdS3
Source: the Alexandria database
Functional: PBE-GGA
Structure: optimized geometry

Calculated values
For the formation energy without anion corrections, the calculation gives -1.85 eV per atom. The calculation puts the mass density at 6.49 Mg/m³. As for the polymorph energy (0 for the lowest one): 0.0000 eV per atom. For the calculated volume, the calculation gives 436.7 Å³ per cell.

Cell: 10.871 3.920 10.250 Å, 90.00 90.00 90.00°
Positions (direct):
Yb 0.004 0.250 0.186
Yb 0.496 0.750 0.686
Yb 0.504 0.250 0.314
Yb 0.996 0.750 0.814
Gd 0.189 0.250 0.500
Gd 0.311 0.750 0.000
Gd 0.689 0.250 0.000
Gd 0.811 0.750 0.500
S 0.044 0.750 0.371
S 0.128 0.250 0.944
S 0.233 0.750 0.698
S 0.267 0.250 0.198
S 0.372 0.750 0.444
S 0.456 0.250 0.871
S 0.544 0.750 0.129
S 0.628 0.250 0.556
S 0.733 0.750 0.802
S 0.767 0.250 0.302
S 0.872 0.750 0.056
S 0.956 0.250 0.629

Record 8
Compound: YbGdS3
Source: the Alexandria database
Functional: PBE-GGA
Structure: optimized geometry

Calculated values
For the formation energy without anion corrections, the calculation gives -1.83 eV per atom. The calculation puts the mass density at 6.39 Mg/m³. As for the polymorph energy (0 for the lowest one): 0.0161 eV per atom. For the calculated volume, the calculation gives 443.4 Å³ per cell.

Cell: 7.437 3.952 15.088 Å, 90.00 90.00 90.00°
Positions (direct):
Yb 0.124 0.250 0.215
Yb 0.376 0.750 0.715
Yb 0.624 0.250 0.285
Yb 0.876 0.750 0.785
Gd 0.238 0.750 0.460
Gd 0.262 0.250 0.960
Gd 0.738 0.750 0.040
Gd 0.762 0.250 0.540
S 0.015 0.250 0.398
S 0.124 0.750 0.072
S 0.154 0.250 0.780
S 0.346 0.750 0.280
S 0.376 0.250 0.572
S 0.485 0.750 0.898
S 0.515 0.250 0.102
S 0.624 0.750 0.428
S 0.654 0.250 0.720
S 0.846 0.750 0.220
S 0.876 0.250 0.928
S 0.985 0.750 0.602

Repeat the seventh record exactly.
Compound: YbGdS3
Source: the Alexandria database
Functional: PBE-GGA
Structure: optimized geometry

Calculated values
For the formation energy without anion corrections, the calculation gives -1.85 eV per atom. The calculation puts the mass density at 6.49 Mg/m³. As for the polymorph energy (0 for the lowest one): 0.0000 eV per atom. For the calculated volume, the calculation gives 436.7 Å³ per cell.

Cell: 10.871 3.920 10.250 Å, 90.00 90.00 90.00°
Positions (direct):
Yb 0.004 0.250 0.186
Yb 0.496 0.750 0.686
Yb 0.504 0.250 0.314
Yb 0.996 0.750 0.814
Gd 0.189 0.250 0.500
Gd 0.311 0.750 0.000
Gd 0.689 0.250 0.000
Gd 0.811 0.750 0.500
S 0.044 0.750 0.371
S 0.128 0.250 0.944
S 0.233 0.750 0.698
S 0.267 0.250 0.198
S 0.372 0.750 0.444
S 0.456 0.250 0.871
S 0.544 0.750 0.129
S 0.628 0.250 0.556
S 0.733 0.750 0.802
S 0.767 0.250 0.302
S 0.872 0.750 0.056
S 0.956 0.250 0.629

Question: Among the records above, which one has the lowest calculated volume?
Answer: GdTmS

Repeat the fifth record exactly.
Compound: Gd3TmS
Source: the Alexandria database
Functional: PBE-GGA
Structure: optimized geometry

Calculated values
For the formation energy without anion corrections, the calculation gives -0.65 eV per atom. The calculation puts the mass density at 7.27 Mg/m³. For the calculated volume, the calculation gives 153.6 Å³ per cell.

Cell: 5.355 5.355 5.355 Å, 90.00 90.00 90.00°
Positions (direct):
Gd 0.000 0.000 0.500
Gd 0.000 0.500 0.000
Gd 0.500 0.000 0.000
Tm 0.500 0.500 0.500
S 0.000 0.000 0.000